Record 1
# ScBeH2Se

A relaxed ScBeH2Se crystal (GGA-PBE, Alexandria via LeMat-Bulk).

Unit cell a=3.6460 b=3.6460 c=5.4065 alpha=90.00 beta=90.00 gamma=90.00
Closest atoms and distances in Å follow each position.
Fractional coordinates of all 5 atoms:
1 Sc 0.0000 0.0000 0.0000  4 H 1.82
2 Be 0.5000 0.5000 0.5000  4 Se 2.58
3 H 0.0000 0.5000 0.0000  2 Sc 1.82
4 H 0.5000 0.0000 0.0000  2 Sc 1.82
5 Se 0.0000 0.0000 0.5000  4 Be 2.58, 2 Sc 2.70

Calculated total energy = -20.95 eV/f.u.


Record 2
# La3Pr5Tm2

A relaxed La3Pr5Tm2 crystal (GGA-PBE, Alexandria via LeMat-Bulk).

Unit cell a=9.3179 b=9.3179 c=10.1609 alpha=108.74 beta=108.74 gamma=107.05
Closest atoms and distances in Å follow each position.
Fractional coordinates of all 20 atoms:
1 La 0.0246 0.2770 0.0578  1 Tm 3.32, 5 Pr 3.41-3.61, 1 La 3.52
2 La 0.2264 0.7736 0.7500  1 Pr 3.11, 2 Tm 3.44
3 La 0.2770 0.0246 0.5578  1 Tm 3.32, 5 Pr 3.41-3.61, 1 La 3.52
4 La 0.7230 0.9754 0.4422  1 Tm 3.32, 5 Pr 3.41-3.61, 1 La 3.52
5 La 0.7736 0.2264 0.2500  1 Pr 3.11, 2 Tm 3.44
6 La 0.9754 0.7230 0.9422  1 Tm 3.32, 5 Pr 3.41-3.61, 1 La 3.52
7 Pr 0.0186 0.9814 0.7500  3 La 3.11-3.41
8 Pr 0.1388 0.3848 0.7641  3 Pr 3.49-3.60, 2 La 3.53-3.79, 2 Tm 3.71-3.81
9 Pr 0.2714 0.7286 0.2500  1 Pr 3.08, 2 La 3.42
10 Pr 0.3848 0.1388 0.2641  3 Pr 3.49-3.60, 2 La 3.53-3.79, 2 Tm 3.71-3.81
11 Pr 0.4769 0.5231 0.2500  1 Pr 3.08, 2 Tm 3.41
12 Pr 0.5231 0.4769 0.7500  1 Pr 3.08, 2 Tm 3.41
13 Pr 0.6152 0.8612 0.7359  3 Pr 3.49-3.60, 2 La 3.53-3.79, 2 Tm 3.71-3.81
14 Pr 0.7286 0.2714 0.7500  1 Pr 3.08, 2 La 3.42
15 Pr 0.8612 0.6152 0.2359  3 Pr 3.49-3.60, 2 La 3.53-3.79, 2 Tm 3.71-3.81
16 Pr 0.9814 0.0186 0.2500  3 La 3.11-3.41
17 Tm 0.2210 0.4685 0.4459  3 La 3.32-3.56, 5 Pr 3.41-3.71
18 Tm 0.4685 0.2210 0.9459  3 La 3.32-3.56, 5 Pr 3.41-3.71
19 Tm 0.5315 0.7790 0.0541  3 La 3.32-3.56, 5 Pr 3.41-3.71
20 Tm 0.7790 0.5315 0.5541  3 La 3.32-3.56, 5 Pr 3.41-3.71

Formation enthalpy at 0 K = 3.58 kcal/mol of atoms
Calculated total energy = -46.07 eV/f.u.


Record 3
# Nb2V2Tc

A relaxed Nb2V2Tc crystal (GGA-PBE, Alexandria via LeMat-Bulk).

Unit cell a=6.2220 b=6.2220 c=4.2429 alpha=90.00 beta=90.00 gamma=90.00
Closest atoms and distances in Å follow each position.
Fractional coordinates of all 10 atoms:
1 Nb 0.1705 0.3295 0.0000  6 V 2.67-2.89
2 Nb 0.3295 0.8295 0.0000  6 V 2.67-2.89
3 Nb 0.6705 0.1705 0.0000  6 V 2.67-2.89
4 Nb 0.8295 0.6705 0.0000  6 V 2.67-2.89
5 V 0.1448 0.6448 0.5000  2 Tc 2.39, 1 V 2.55, 2 Nb 2.67
6 V 0.3552 0.1448 0.5000  2 Tc 2.39, 1 V 2.55, 2 Nb 2.67
7 V 0.6448 0.8552 0.5000  2 Tc 2.39, 1 V 2.55, 2 Nb 2.67
8 V 0.8552 0.3552 0.5000  2 Tc 2.39, 1 V 2.55, 2 Nb 2.67
9 Tc 0.0000 0.0000 0.5000  4 V 2.39
10 Tc 0.5000 0.5000 0.5000  4 V 2.39

Formation enthalpy at 0 K = 3.92 kcal/mol of atoms
Calculated total energy = -47.89 eV/f.u.


Record 4
# ScBe2Cr2

A relaxed ScBe2Cr2 crystal (GGA-PBE, Alexandria via LeMat-Bulk).

Unit cell a=6.4029 b=6.4029 c=3.0013 alpha=90.00 beta=90.00 gamma=90.00
Closest atoms and distances in Å follow each position.
Fractional coordinates of all 10 atoms:
1 Sc 0.0000 0.0000 0.0000  4 Be 2.58, 8 Cr 2.80
2 Sc 0.5000 0.5000 0.0000  4 Be 2.58, 8 Cr 2.80
3 Be 0.1137 0.3863 0.0000  1 Be 2.06
4 Be 0.3863 0.8863 0.0000  1 Be 2.06
5 Be 0.6137 0.1137 0.0000  1 Be 2.06
6 Be 0.8863 0.6137 0.0000  1 Be 2.06
7 Cr 0.1732 0.6732 0.5000  6 Be 2.40-2.44
8 Cr 0.3268 0.1732 0.5000  6 Be 2.40-2.44
9 Cr 0.6732 0.8268 0.5000  6 Be 2.40-2.44
10 Cr 0.8268 0.3268 0.5000  6 Be 2.40-2.44

Formation enthalpy at 0 K = 4.83 kcal/mol of atoms
Calculated total energy = -31.98 eV/f.u.


Record 5
# Sc4CdAg2Hg

A relaxed Sc4CdAg2Hg crystal (GGA-PBE, Alexandria via LeMat-Bulk).

Unit cell a=8.5394 b=8.5394 c=8.5394 alpha=33.51 beta=33.51 gamma=33.51
Closest atoms and distances in Å follow each position.
Fractional coordinates of all 8 atoms:
1 Sc 0.1236 0.1236 0.1236  4 Ag 2.96-2.98, 1 Hg 2.98, 3 Cd 3.03
2 Sc 0.3738 0.3738 0.3738  3 Hg 3.01, 1 Cd 3.05, 4 Ag 3.06-3.08
3 Sc 0.6262 0.6262 0.6262  3 Hg 3.01, 1 Cd 3.05, 4 Ag 3.06-3.08
4 Sc 0.8764 0.8764 0.8764  4 Ag 2.96-2.98, 1 Hg 2.98, 3 Cd 3.03
5 Cd 0.5000 0.5000 0.5000  8 Sc 3.03-3.05
6 Ag 0.2463 0.2463 0.2463  8 Sc 2.96-3.08
7 Ag 0.7537 0.7537 0.7537  8 Sc 2.96-3.08
8 Hg 0.0000 0.0000 0.0000  8 Sc 2.98-3.01

Formation enthalpy at 0 K = -7.29 kcal/mol of atoms
Calculated total energy = -34.77 eV/f.u.


Record 6
# K2HF3

A relaxed K2HF3 crystal (GGA-PBE, Alexandria via LeMat-Bulk).

Unit cell a=6.6932 b=6.6932 c=7.9078 alpha=121.84 beta=121.84 gamma=42.25
Closest atoms and distances in Å follow each position.
Fractional coordinates of all 12 atoms:
1 K 0.0523 0.6873 0.9361  7 F 2.63-2.86, 1 H 2.79
2 K 0.3127 0.9477 0.5639  7 F 2.63-2.86, 1 H 2.79
3 K 0.6873 0.0523 0.4361  7 F 2.63-2.86, 1 H 2.79
4 K 0.9477 0.3127 0.0639  7 F 2.63-2.86, 1 H 2.79
5 H 0.4265 0.5735 0.7500  1 F 0.98
6 H 0.5735 0.4265 0.2500  1 F 0.98
7 F 0.2155 0.5536 0.2689  1 H 1.93
8 F 0.2241 0.7759 0.7500  1 H 0.98
9 F 0.4464 0.7845 0.2311  1 H 1.93
10 F 0.5536 0.2155 0.7689  1 H 1.93
11 F 0.7759 0.2241 0.2500  1 H 0.98
12 F 0.7845 0.4464 0.7311  1 H 1.93

Calculated total energy = -25.01 eV/f.u.
Relative energy among the computed polymorphs = 73 meV/atom


Record 7
# ZnSbSe4

A relaxed ZnSbSe4 crystal (GGA-PBE, Alexandria via LeMat-Bulk).

Unit cell a=5.7648 b=5.7648 c=5.7648 alpha=60.00 beta=60.00 gamma=60.00
Closest atoms and distances in Å follow each position.
Fractional coordinates of all 6 atoms:
1 Zn 0.0000 0.0000 0.0000  12 Se 3.38, 4 Sb 3.53
2 Sb 0.2500 0.2500 0.2500  12 Se 3.38, 4 Zn 3.53
3 Se 0.1222 0.6259 0.6259  6 Se 2.86-2.90
4 Se 0.6259 0.1222 0.6259  6 Se 2.86-2.90
5 Se 0.6259 0.6259 0.1222  6 Se 2.86-2.90
6 Se 0.6259 0.6259 0.6259  6 Se 2.86-2.90

Energy relative to the elements, uncorrected = 0.5597 eV per atom
Calculated total energy = -15.98 eV/f.u.


Record 8
# Sm3TmTl3Se8

A relaxed Sm3TmTl3Se8 crystal (GGA-PBE, Alexandria via LeMat-Bulk).

Unit cell a=9.0561 b=9.0561 c=9.0561 alpha=55.65 beta=55.65 gamma=55.65
Closest atoms and distances in Å follow each position.
Fractional coordinates of all 15 atoms:
1 Sm 0.0000 0.5000 0.5000  6 Se 2.93
2 Sm 0.5000 0.0000 0.5000  6 Se 2.93-2.94
3 Sm 0.5000 0.5000 0.0000  6 Se 2.93-2.94
4 Tm 0.0000 0.0000 0.0000  6 Se 2.86
5 Tl 0.0000 0.0000 0.5000  6 Se 3.28
6 Tl 0.0000 0.5000 0.0000  6 Se 3.28
7 Tl 0.5000 0.0000 0.0000  6 Se 3.28
8 Se 0.2315 0.2315 0.7443  1 Tm 2.86, 2 Sm 2.93-2.94
9 Se 0.2315 0.7443 0.2315  1 Tm 2.86, 2 Sm 2.93-2.94
10 Se 0.2557 0.7685 0.7685  1 Tm 2.86, 2 Sm 2.93
11 Se 0.2623 0.2623 0.2623  3 Sm 2.93, 3 Tl 3.28
12 Se 0.7377 0.7377 0.7377  3 Sm 2.93, 3 Tl 3.28
13 Se 0.7443 0.2315 0.2315  1 Tm 2.86, 2 Sm 2.93
14 Se 0.7685 0.2557 0.7685  1 Tm 2.86, 2 Sm 2.93
15 Se 0.7685 0.7685 0.2557  1 Tm 2.86, 2 Sm 2.93

Energy relative to the elements, uncorrected = -1.3832 eV per atom
Calculated total energy = -74.35 eV/f.u.


Record 9
# MnAgRh2

A relaxed MnAgRh2 crystal (GGA-PBE, Alexandria via LeMat-Bulk).

Unit cell a=2.9357 b=4.5249 c=4.6130 alpha=90.00 beta=90.00 gamma=90.00
Closest atoms and distances in Å follow each position.
Fractional coordinates of all 4 atoms:
1 Mn 0.0000 0.0000 0.0000  4 Rh 2.70, 4 Ag 2.73, 2 Mn 2.94
2 Ag 0.5000 0.0000 0.5000  4 Rh 2.70, 4 Mn 2.73, 2 Ag 2.94
3 Rh 0.0000 0.5000 0.5000  4 Ag 2.70, 6 Rh 2.73-2.94
4 Rh 0.5000 0.5000 0.0000  4 Mn 2.70, 6 Rh 2.73-2.94

Formation enthalpy at 0 K = 4.55 kcal/mol of atoms
Calculated total energy = -25.93 eV/f.u.
Relative energy among the computed polymorphs = 153 meV/atom


Record 10
# Ir2NCl

A relaxed Ir2NCl crystal (GGA-PBE, Alexandria via LeMat-Bulk).

Unit cell a=4.8708 b=4.8708 c=11.1174 alpha=90.00 beta=90.00 gamma=90.00
Closest atoms and distances in Å follow each position.
Fractional coordinates of all 16 atoms:
1 Ir 0.1420 0.2500 0.1250  2 N 1.97
2 Ir 0.2500 0.6420 0.3750  2 N 1.97
3 Ir 0.2500 0.8580 0.8750  2 N 1.97
4 Ir 0.3580 0.2500 0.6250  2 N 1.97
5 Ir 0.6420 0.7500 0.6250  2 N 1.97
6 Ir 0.7500 0.1420 0.8750  2 N 1.97
7 Ir 0.7500 0.3580 0.3750  2 N 1.97
8 Ir 0.8580 0.7500 0.1250  2 N 1.97
9 N 0.0000 0.0000 0.0000  4 Ir 1.97
10 N 0.0000 0.5000 0.2500  4 Ir 1.97
11 N 0.5000 0.0000 0.7500  4 Ir 1.97
12 N 0.5000 0.5000 0.5000  4 Ir 1.97
13 Cl 0.0000 0.0000 0.5000  4 Ir 2.54
14 Cl 0.0000 0.5000 0.7500  4 Ir 2.54
15 Cl 0.5000 0.0000 0.2500  4 Ir 2.54
16 Cl 0.5000 0.5000 0.0000  4 Ir 2.54

Energy relative to the elements, uncorrected = 0.7985 eV per atom
Calculated total energy = -24.70 eV/f.u.
Relative energy among the computed polymorphs = 0 meV/atom


Record 11
# HfAlNi

A relaxed HfAlNi crystal (GGA-PBE, Alexandria via LeMat-Bulk).

Unit cell a=4.2297 b=4.2297 c=3.1003 alpha=90.00 beta=90.00 gamma=120.00
Closest atoms and distances in Å follow each position.
Fractional coordinates of all 3 atoms:
1 Hf 0.0000 0.0000 0.0000  6 Al 2.89, 6 Ni 2.89, 2 Hf 3.10
2 Al 0.6667 0.3333 0.5000  3 Ni 2.44
3 Ni 0.3333 0.6667 0.5000  3 Al 2.44

Formation enthalpy at 0 K = -11.23 kcal/mol of atoms
Calculated total energy = -20.94 eV/f.u.


Record 12
# LaNd2Zn

A relaxed LaNd2Zn crystal (GGA-PBE, Alexandria via LeMat-Bulk).

Unit cell a=3.5543 b=3.5543 c=35.0239 alpha=90.00 beta=90.00 gamma=120.00
Closest atoms and distances in Å follow each position.
Fractional coordinates of all 12 atoms:
1 La 0.0000 0.0000 0.0000  2 Nd 3.53, 6 La 3.55
2 La 0.3333 0.6667 0.6667  2 Nd 3.53, 6 La 3.55
3 La 0.6667 0.3333 0.3333  2 Nd 3.53, 6 La 3.55
4 Nd 0.0000 0.0000 0.1009  3 Zn 3.09
5 Nd 0.0000 0.0000 0.8991  3 Zn 3.09
6 Nd 0.3333 0.6667 0.5658  3 Zn 3.09
7 Nd 0.3333 0.6667 0.7675  3 Zn 3.09
8 Nd 0.6667 0.3333 0.2325  3 Zn 3.09
9 Nd 0.6667 0.3333 0.4342  3 Zn 3.09
10 Zn 0.0000 0.0000 0.5000  6 Nd 3.09
11 Zn 0.3333 0.6667 0.1667  6 Nd 3.09
12 Zn 0.6667 0.3333 0.8333  6 Nd 3.09

Formation enthalpy at 0 K = 2.24 kcal/mol of atoms
Calculated total energy = -15.35 eV/f.u.
Relative energy among the computed polymorphs = 247 meV/atom